Entry from the Alexandria database: crystalline Ac4SnTe2S at its relaxed geometry (PBE-GGA).

Cell lengths 7.9738, 4.6727, 8.2221 Å; angles 90.00, 109.40, 90.00 degrees
Space group P2/m (No. 10)
Unique sites:
Ac (0.2343, 0.0000, 0.2258) x2
Ac (0.2467, 0.5000, 0.7676) x2
Sn (0.5000, 0.0000, 0.0000) x1
Te (0.0000, 0.0000, 0.5000) x1
Te (0.5000, 0.5000, 0.5000) x1
S (0.0000, 0.5000, 0.0000) x1


Entry from the Alexandria database: crystalline Ac8Sn3Te4S at its relaxed geometry (PBE-GGA).

Cell lengths 9.4720, 9.4720, 23.3492 Å; angles 90.00, 90.00, 120.00 degrees
Space group R-3m (No. 166, hexagonal axes)
Unique sites:
Ac (0.0000, 0.0000, 0.2465) x6
Ac (0.0043, 0.5022, 0.2442) x18
Sn (0.0000, 0.5000, 0.5000) x9
Te (0.0000, 0.0000, 0.0000) x3
Te (0.0000, 0.5000, 0.0000) x9
S (0.0000, 0.0000, 0.5000) x3


Entry from the Alexandria database: crystalline Ac3Tl3SnS8 at its relaxed geometry (PBE-GGA).

Cell lengths 8.5991, 8.5991, 22.7619 Å; angles 90.00, 90.00, 120.00 degrees
Space group R-3m (No. 166, hexagonal axes)
Unique sites:
Ac (0.0000, 0.5000, 0.0000) x9
Tl (0.0000, 0.5000, 0.5000) x9
Sn (0.0000, 0.0000, 0.0000) x3
S (0.0000, 0.0000, 0.2632) x6
S (0.0378, 0.5189, 0.7318) x18


Entry from the Alexandria database: crystalline AcTl2SnS4 at its relaxed geometry (PBE-GGA).

Cell lengths 7.3192, 4.2506, 7.8338 Å; angles 90.00, 108.50, 90.00 degrees
Space group P2/m (No. 10)
Unique sites:
Ac (0.0000, 0.0000, 0.0000) x1
Tl (0.0000, 0.5000, 0.5000) x1
Tl (0.5000, 0.0000, 0.5000) x1
Sn (0.5000, 0.5000, 0.0000) x1
S (0.2556, 0.5000, 0.2090) x2
S (0.2807, 0.0000, 0.7953) x2


Entry from the Alexandria database: crystalline Ac2Tl3SnS6 at its relaxed geometry (PBE-GGA).

Cell lengths 19.3261, 4.3308, 8.9001 Å; angles 90.00, 106.31, 90.00 degrees
Space group C2/m (No. 12)
Unique sites:
Ac (0.1624, 0.0000, 0.3266) x4
Tl (0.0000, 0.5000, 0.5000) x2
Tl (0.1665, 0.0000, 0.8373) x4
Sn (0.0000, 0.5000, 0.0000) x2
S (0.0016, 0.0000, 0.2120) x4
S (0.1482, 0.5000, 0.0900) x4
S (0.1752, 0.5000, 0.5618) x4


Entry from the Alexandria database: crystalline SrAc5S6 at its relaxed geometry (PBE-GGA).

Cell lengths 7.4495, 12.9095, 7.4405 Å; angles 90.00, 109.43, 90.00 degrees
Space group C2/m (No. 12)
Unique sites:
Sr (0.0000, 0.0000, 0.0000) x2
Ac (0.0000, 0.1671, 0.5000) x4
Ac (0.0000, 0.3337, 0.0000) x4
Ac (0.0000, 0.5000, 0.5000) x2
S (0.2465, 0.0000, 0.7525) x4
S (0.2471, 0.1650, 0.2474) x8


Entry from the Alexandria database: crystalline SrAc4S6 at its relaxed geometry (PBE-GGA).

Cell lengths 11.9954, 11.9954, 14.5085 Å; angles 90.00, 90.00, 120.00 degrees
Space group R-3c (No. 167, hexagonal axes)
Unique sites:
Sr (0.0000, 0.0000, 0.0000) x6
Ac (0.0000, 0.0000, 0.2500) x6
Ac (0.0000, 0.3789, 0.2500) x18
S (0.0266, 0.2027, 0.3858) x36


Entry from the Alexandria database: crystalline SrAcS2 at its relaxed geometry (PBE-GGA).

Values from the calculation:
Energy above the most stable polymorph in this dataset: 108 meV per atom

Cell lengths 4.1918, 4.1918, 22.4014 Å; angles 90.00, 90.00, 120.00 degrees
Space group R3m (No. 160, hexagonal axes)
Unique sites:
Sr (0.0000, 0.0000, 0.0000) x3
Ac (0.0000, 0.0000, 0.8260) x3
S (0.0000, 0.0000, 0.2445) x3
S (0.0000, 0.0000, 0.4114) x3


Entry from the Alexandria database: crystalline Sr3Ac5S12 at its relaxed geometry (PBE-GGA).

Cell lengths 17.4401, 17.4401, 17.4401 Å; angles 90.00, 90.00, 90.00 degrees
Space group Ia-3d (No. 230)
Unique sites:
Sr (0.0000, 0.2500, 0.1250) x24
Ac (0.0000, 0.0000, 0.0000) x16
Ac (0.0000, 0.2500, 0.3750) x24
S (0.0210, 0.0736, 0.6524) x96


Entry from the Alexandria database: crystalline SrAcS2 at its relaxed geometry (PBE-GGA).

Values from the calculation:
Energy above the most stable polymorph in this dataset: 0 meV per atom

Cell lengths 4.2662, 4.2662, 21.2843 Å; angles 90.00, 90.00, 120.00 degrees
Space group R-3m (No. 166, hexagonal axes)
Unique sites:
Sr (0.0000, 0.0000, 0.0000) x3
Ac (0.0000, 0.0000, 0.5000) x3
S (0.0000, 0.0000, 0.2513) x6


Entry from the Alexandria database: crystalline Sr3Ac4S8 at its relaxed geometry (PBE-GGA).

Cell lengths 12.1384, 12.1748, 8.5849 Å; angles 90.00, 134.67, 90.00 degrees
Space group C2/m (No. 12)
Unique sites:
Sr (0.0000, 0.0000, 0.0000) x2
Sr (0.2500, 0.2500, 0.0000) x4
Ac (0.0000, 0.0000, 0.5000) x2
Ac (0.0000, 0.5000, 0.0000) x2
Ac (0.2500, 0.2500, 0.5000) x4
S (0.0000, 0.2449, 0.5000) x4
S (0.0000, 0.2492, 0.0000) x4
S (0.2451, 0.0000, 0.9856) x4
S (0.2463, 0.0000, 0.5000) x4


Entry from the Alexandria database: crystalline SrAc2S3 at its relaxed geometry (PBE-GGA).

Cell lengths 4.2635, 6.0666, 12.9966 Å; angles 90.00, 90.00, 90.00 degrees
Space group Immm (No. 71)
Unique sites:
Sr (0.0000, 0.0000, 0.0000) x2
Ac (0.0000, 0.0000, 0.3334) x4
S (0.0000, 0.5000, 0.0000) x2
S (0.0000, 0.5000, 0.3365) x4


| no. | total magnetic moment (μB/cell) | energy (eV per formula unit) |
| --- | --- | --- |
| 1 | 0.00 | -42.33 |
| 2 | 0.00 | -82.31 |
| 3 | 0.00 | -74.86 |
| 4 | 0.00 | -36.46 |
| 5 | 0.00 | -57.17 |
| 6 | 0.00 | -71.20 |
| 7 | 0.01 | -64.31 |
| 8 | 0.00 | -21.80 |
| 9 | 0.03 | -107.57 |
| 10 | 0.00 | -22.23 |
| 11 | 0.00 | -85.44 |
| 12 | 0.00 | -34.48 |